Record 1
# GdMgZn | the Open Quantum Materials Database | PBE-GGA | relaxed
# magnetic moment: 0.0017 μB/atom
# symmetry: P3m1 (156)
# final energy: -2.4562 eV per atom
data_GdMgZn
_cell_length_a 3.6343
_cell_length_b 3.6343
_cell_length_c 13.0397
_cell_angle_alpha 90.00
_cell_angle_beta 90.00
_cell_angle_gamma 120.00
_symmetry_space_group_name_H-M 'P 1'
_symmetry_Int_Tables_number 1
loop_
_symmetry_equiv_pos_as_xyz
'x,y,z'
loop_
_atom_site_label
_atom_site_type_symbol
_atom_site_fract_x
_atom_site_fract_y
_atom_site_fract_z
_atom_site_occupancy
Zn1 Zn 0.3333 0.6667 0.8769 1
Zn2 Zn 0.0000 0.0000 0.5486 1
Gd1 Gd 0.6667 0.3333 0.7152 1
Gd2 Gd 0.3333 0.6667 0.2115 1
Mg1 Mg 0.6667 0.3333 0.4095 1
Mg2 Mg 0.0000 0.0000 0.0130 1

Record 2
# AcLuPO | the Open Quantum Materials Database | PBE-GGA | relaxed
# magnetic moment: 0.2267 μB/atom
# distance to the lowest polymorph of the same formula: 0.0000 eV/atom
# symmetry: Pmc2_1 (26)
# final energy: -6.8134 eV per atom
data_AcLuPO
_cell_length_a 4.4449
_cell_length_b 5.1780
_cell_length_c 7.4770
_cell_angle_alpha 90.00
_cell_angle_beta 90.00
_cell_angle_gamma 90.00
_symmetry_space_group_name_H-M 'P 1'
_symmetry_Int_Tables_number 1
loop_
_symmetry_equiv_pos_as_xyz
'x,y,z'
loop_
_atom_site_label
_atom_site_type_symbol
_atom_site_fract_x
_atom_site_fract_y
_atom_site_fract_z
_atom_site_occupancy
P1 P 0.0000 0.8477 0.7921 1
P2 P 0.0000 0.1523 0.2921 1
Lu1 Lu 0.0000 0.6487 0.4429 1
Lu2 Lu 0.0000 0.3513 0.9429 1
O1 O 0.5000 0.6728 0.4313 1
O2 O 0.5000 0.3272 0.9313 1
Ac1 Ac 0.5000 0.1509 0.5878 1
Ac2 Ac 0.5000 0.8491 0.0878 1

Record 3
# K2YH6Ir | the Open Quantum Materials Database | PBE-GGA | relaxed
# magnetic moment: 0.1588 μB/atom
# symmetry: C2/m (12)
# final energy: -3.8846 eV per atom
data_K2YH6Ir
_cell_length_a 5.7105
_cell_length_b 5.7105
_cell_length_c 5.7780
_cell_angle_alpha 120.20
_cell_angle_beta 120.20
_cell_angle_gamma 60.17
_symmetry_space_group_name_H-M 'P 1'
_symmetry_Int_Tables_number 1
loop_
_symmetry_equiv_pos_as_xyz
'x,y,z'
loop_
_atom_site_label
_atom_site_type_symbol
_atom_site_fract_x
_atom_site_fract_y
_atom_site_fract_z
_atom_site_occupancy
H1 H 0.2852 0.2852 0.3149 1
H2 H 0.7265 0.2988 0.7265 1
H3 H 0.2988 0.7265 0.7265 1
H4 H 0.7012 0.2735 0.2735 1
H5 H 0.7148 0.7148 0.6851 1
H6 H 0.2735 0.7012 0.2735 1
Ir1 Ir 0.5000 0.5000 0.5000 1
K1 K 0.2498 0.2498 0.7494 1
K2 K 0.7502 0.7502 0.2506 1
Y1 Y 0.0000 0.0000 0.0000 1

Record 4
# ThPaB | the Open Quantum Materials Database | PBE-GGA | relaxed
# magnetic moment: 0.0054 μB/atom
# distance to the lowest polymorph of the same formula: 0.0000 eV/atom
# symmetry: F-43m (216)
# final energy: -7.6853 eV per atom
data_ThPaB
_cell_length_a 4.4748
_cell_length_b 4.4748
_cell_length_c 4.4748
_cell_angle_alpha 60.00
_cell_angle_beta 60.00
_cell_angle_gamma 60.00
_symmetry_space_group_name_H-M 'P 1'
_symmetry_Int_Tables_number 1
loop_
_symmetry_equiv_pos_as_xyz
'x,y,z'
loop_
_atom_site_label
_atom_site_type_symbol
_atom_site_fract_x
_atom_site_fract_y
_atom_site_fract_z
_atom_site_occupancy
Th1 Th 0.7500 0.7500 0.7500 1
B1 B 0.0000 0.0000 0.0000 1
Pa1 Pa 0.2500 0.2500 0.2500 1

Record 5
# RbTeOsO | the Open Quantum Materials Database | PBE-GGA | relaxed
# magnetic moment: 0.0006 μB/atom
# distance to the lowest polymorph of the same formula: 0.0000 eV/atom
# symmetry: Pmc2_1 (26)
# final energy: -5.4913 eV per atom
data_RbTeOsO
_cell_length_a 4.5535
_cell_length_b 7.4953
_cell_length_c 7.1884
_cell_angle_alpha 90.00
_cell_angle_beta 90.00
_cell_angle_gamma 90.00
_symmetry_space_group_name_H-M 'P 1'
_symmetry_Int_Tables_number 1
loop_
_symmetry_equiv_pos_as_xyz
'x,y,z'
loop_
_atom_site_label
_atom_site_type_symbol
_atom_site_fract_x
_atom_site_fract_y
_atom_site_fract_z
_atom_site_occupancy
Rb1 Rb 0.0000 0.2899 0.1087 1
Rb2 Rb 0.0000 0.7101 0.6087 1
Os1 Os 0.5000 0.0576 0.5255 1
Os2 Os 0.5000 0.9424 0.0255 1
O1 O 0.5000 0.0429 0.2653 1
O2 O 0.5000 0.9571 0.7653 1
Te1 Te 0.0000 0.2227 0.5914 1
Te2 Te 0.0000 0.7773 0.0914 1

Record 6
# Tm2HgOs | the Open Quantum Materials Database | PBE-GGA | relaxed
# magnetic moment: 0.0006 μB/atom
# symmetry: P4/mmm (123)
# final energy: -5.5581 eV per atom
data_Tm2HgOs
_cell_length_a 3.4102
_cell_length_b 3.4102
_cell_length_c 7.5114
_cell_angle_alpha 90.00
_cell_angle_beta 90.00
_cell_angle_gamma 90.00
_symmetry_space_group_name_H-M 'P 1'
_symmetry_Int_Tables_number 1
loop_
_symmetry_equiv_pos_as_xyz
'x,y,z'
loop_
_atom_site_label
_atom_site_type_symbol
_atom_site_fract_x
_atom_site_fract_y
_atom_site_fract_z
_atom_site_occupancy
Tm1 Tm 0.5000 0.5000 0.2163 1
Tm2 Tm 0.5000 0.5000 0.7837 1
Os1 Os 0.0000 0.0000 0.0000 1
Hg1 Hg 0.0000 0.0000 0.5000 1

Record 7
# Er3ZrTe2C2 | the Open Quantum Materials Database | PBE-GGA | relaxed
# magnetic moment: 0.0009 μB/atom
# symmetry: P3m1 (156)
# final energy: -6.7354 eV per atom
data_Er3ZrTe2C2
_cell_length_a 3.7146
_cell_length_b 3.7146
_cell_length_c 13.8221
_cell_angle_alpha 90.00
_cell_angle_beta 90.00
_cell_angle_gamma 120.00
_symmetry_space_group_name_H-M 'P 1'
_symmetry_Int_Tables_number 1
loop_
_symmetry_equiv_pos_as_xyz
'x,y,z'
loop_
_atom_site_label
_atom_site_type_symbol
_atom_site_fract_x
_atom_site_fract_y
_atom_site_fract_z
_atom_site_occupancy
C1 C 0.3333 0.6667 0.5026 1
C2 C 0.3333 0.6667 0.9903 1
Er1 Er 0.6667 0.3333 0.0891 1
Er2 Er 0.6667 0.3333 0.4072 1
Er3 Er 0.0000 0.0000 0.5943 1
Te1 Te 0.0000 0.0000 0.2472 1
Te2 Te 0.6667 0.3333 0.7601 1
Zr1 Zr 0.0000 0.0000 0.9091 1

Record 8
# HoAl2In | the Open Quantum Materials Database | PBE-GGA | relaxed
# magnetic moment: 0.0002 μB/atom
# symmetry: Amm2 (38)
# final energy: -4.0372 eV per atom
data_HoAl2In
_cell_length_a 4.7870
_cell_length_b 6.4363
_cell_length_c 6.4363
_cell_angle_alpha 58.94
_cell_angle_beta 90.00
_cell_angle_gamma 90.00
_symmetry_space_group_name_H-M 'P 1'
_symmetry_Int_Tables_number 1
loop_
_symmetry_equiv_pos_as_xyz
'x,y,z'
loop_
_atom_site_label
_atom_site_type_symbol
_atom_site_fract_x
_atom_site_fract_y
_atom_site_fract_z
_atom_site_occupancy
Al1 Al 0.0000 0.8499 0.8499 1
Al2 Al 0.5000 0.1443 0.7022 1
Al3 Al 0.5000 0.7022 0.1443 1
Al4 Al 0.5000 0.1472 0.1472 1
Ho1 Ho 0.5000 0.6763 0.6763 1
Ho2 Ho 0.0000 0.3290 0.3290 1
In1 In 0.0000 0.8347 0.3164 1
In2 In 0.0000 0.3164 0.8347 1

Record 9
# Pr2NdMg4Tl2 | the Open Quantum Materials Database | PBE-GGA | relaxed
# magnetic moment: 0.0006 μB/atom
# symmetry: Amm2 (38)
# final energy: -3.0755 eV per atom
data_Pr2NdMg4Tl2
_cell_length_a 4.7990
_cell_length_b 7.7526
_cell_length_c 7.7526
_cell_angle_alpha 119.84
_cell_angle_beta 90.00
_cell_angle_gamma 90.00
_symmetry_space_group_name_H-M 'P 1'
_symmetry_Int_Tables_number 1
loop_
_symmetry_equiv_pos_as_xyz
'x,y,z'
loop_
_atom_site_label
_atom_site_type_symbol
_atom_site_fract_x
_atom_site_fract_y
_atom_site_fract_z
_atom_site_occupancy
Mg1 Mg 0.5000 0.2419 0.0000 1
Mg2 Mg 0.0000 0.0013 0.0013 1
Mg3 Mg 0.5000 0.7584 0.7584 1
Mg4 Mg 0.5000 0.0000 0.2419 1
Pr1 Pr 0.0000 0.5718 0.9995 1
Pr2 Pr 0.0000 0.9995 0.5718 1
Tl1 Tl 0.5000 0.6654 0.3335 1
Tl2 Tl 0.5000 0.3335 0.6654 1
Nd1 Nd 0.0000 0.4280 0.4280 1

Record 10
# ErOsNO | the Open Quantum Materials Database | PBE-GGA | relaxed
# magnetic moment: 0.0030 μB/atom
# distance to the lowest polymorph of the same formula: 0.7723 eV/atom
# symmetry: P4/mmm (123)
# final energy: -7.9552 eV per atom
data_ErOsNO
_cell_length_a 4.8683
_cell_length_b 4.8683
_cell_length_c 4.2148
_cell_angle_alpha 90.00
_cell_angle_beta 90.00
_cell_angle_gamma 90.00
_symmetry_space_group_name_H-M 'P 1'
_symmetry_Int_Tables_number 1
loop_
_symmetry_equiv_pos_as_xyz
'x,y,z'
loop_
_atom_site_label
_atom_site_type_symbol
_atom_site_fract_x
_atom_site_fract_y
_atom_site_fract_z
_atom_site_occupancy
O1 O 0.5000 0.5000 0.0000 1
O2 O 0.0000 0.0000 0.0000 1
N1 N 0.0000 0.5000 0.5005 1
N2 N 0.5000 0.0000 0.4995 1
Er1 Er 0.0000 0.0000 0.5000 1
Er2 Er 0.5000 0.5000 0.5000 1
Os1 Os 0.0000 0.5000 0.0005 1
Os2 Os 0.5000 0.0000 0.9995 1

Record 11
# LiScCdGa | the Open Quantum Materials Database | PBE-GGA | relaxed
# magnetic moment: 0.0008 μB/atom
# distance to the lowest polymorph of the same formula: 0.0000 eV/atom
# symmetry: F-43m (216)
# final energy: -3.4013 eV per atom
data_LiScCdGa
_cell_length_a 4.7265
_cell_length_b 4.7265
_cell_length_c 4.7265
_cell_angle_alpha 60.00
_cell_angle_beta 60.00
_cell_angle_gamma 60.00
_symmetry_space_group_name_H-M 'P 1'
_symmetry_Int_Tables_number 1
loop_
_symmetry_equiv_pos_as_xyz
'x,y,z'
loop_
_atom_site_label
_atom_site_type_symbol
_atom_site_fract_x
_atom_site_fract_y
_atom_site_fract_z
_atom_site_occupancy
Ga1 Ga 0.5000 0.5000 0.5000 1
Sc1 Sc 0.2500 0.2500 0.2500 1
Li1 Li 0.7500 0.7500 0.7500 1
Cd1 Cd 0.0000 0.0000 0.0000 1

Record 12
# Er3Pd4Pb | the Open Quantum Materials Database | PBE-GGA | relaxed
# magnetic moment: 0.0013 μB/atom
# symmetry: Pm (6)
# final energy: -5.5687 eV per atom
data_Er3Pd4Pb
_cell_length_a 5.5610
_cell_length_b 4.4614
_cell_length_c 6.8902
_cell_angle_alpha 90.00
_cell_angle_beta 91.79
_cell_angle_gamma 90.00
_symmetry_space_group_name_H-M 'P 1'
_symmetry_Int_Tables_number 1
loop_
_symmetry_equiv_pos_as_xyz
'x,y,z'
loop_
_atom_site_label
_atom_site_type_symbol
_atom_site_fract_x
_atom_site_fract_y
_atom_site_fract_z
_atom_site_occupancy
Er1 Er 0.3648 0.0000 0.3239 1
Er2 Er 0.1325 0.0000 0.8193 1
Er3 Er 0.8607 0.5000 0.1799 1
Pd1 Pd 0.1551 0.5000 0.5405 1
Pd2 Pd 0.3399 0.5000 0.0438 1
Pd3 Pd 0.6479 0.0000 0.9639 1
Pd4 Pd 0.8558 0.0000 0.4504 1
Pb1 Pb 0.6433 0.5000 0.6784 1